This record from Alexandria describes a relaxed structure of GaNiCl3. The functional is GGA-PBE.

- DOS(E_F): 1.9 states/eV/f.u.
- Space group: No. 221
- Formation energy from raw total energies: -0.52 eV/atom

abc: 4.7112 4.7112 4.7112
angles: 90.00 90.00 90.00
With the nearest neighbours (Å) after each atom.
Positions (direct):
Ga1 0.0000 0.0000 0.0000  12 Cl 3.33
Ni1 0.5000 0.5000 0.5000  6 Cl 2.36
Cl1 0.0000 0.5000 0.5000  2 Ni 2.36
Cl2 0.5000 0.0000 0.5000  2 Ni 2.36
Cl3 0.5000 0.5000 0.0000  2 Ni 2.36